Density functional theory data (PBE+U) for ScFeCl2F after structural relaxation.

Computed properties:
- total magnetic moment (μB per formula unit) = 2.145
- D(E_F) (states/eV/atom) = 0.760
- crystal system = tetragonal
- total DFT energy (no corrections) (eV per atom) = -4.635
- space-group type = P4/mmm

Lattice parameters (Å, degrees): 5.151 3.840 5.151 90.00 90.00 90.00
Fractional coordinates of all 5 atoms:
Sc 0.500 0.500 0.500
F 0.000 0.500 0.000
Fe 0.000 0.000 0.000
Cl 0.000 0.000 0.500
Cl 0.500 0.000 0.000